Entry 1:
Compound: In4I3Cl2
Source: the Alexandria database
Functional: PBE-GGA
Structure: optimized geometry

Its symmetry is C2/c.

Lattice parameters (Å, degrees): 9.967 9.967 7.148 92.10 92.10 77.59
Fractional positions:
In1 0.055 0.727 0.969
In2 0.230 0.438 0.484
In3 0.273 0.945 0.531
In4 0.438 0.230 0.984
In5 0.562 0.770 0.016
In6 0.727 0.055 0.469
In7 0.770 0.562 0.516
In8 0.945 0.273 0.031
I1 0.004 0.255 0.540
I2 0.255 0.004 0.040
I3 0.396 0.604 0.750
I4 0.604 0.396 0.250
I5 0.745 0.996 0.960
I6 0.996 0.745 0.460
Cl1 0.181 0.422 0.087
Cl2 0.422 0.181 0.587
Cl3 0.578 0.819 0.413
Cl4 0.819 0.578 0.913

---

Entry 2:
Compound: CoTcIr2
Source: the Alexandria database
Functional: PBE-GGA
Structure: optimized geometry

Its symmetry is Cmmm. The formation energy is -0.029 eV per atom.

Lattice parameters (Å, degrees): 5.366 7.547 2.691 90.00 90.00 90.00
Fractional positions:
Co1 0.000 0.000 0.000
Co2 0.500 0.500 0.000
Tc1 0.000 0.500 0.000
Tc2 0.500 0.000 0.000
Ir1 0.250 0.250 0.500
Ir2 0.250 0.750 0.500
Ir3 0.750 0.250 0.500
Ir4 0.750 0.750 0.500

---

Entry 3:
Compound: ErThAl2Hg4
Source: the Alexandria database
Functional: PBE-GGA
Structure: optimized geometry

Its symmetry is P4/mmm. The formation energy is -0.164 eV per atom.

Lattice parameters (Å, degrees): 4.381 4.381 10.348 90.00 90.00 90.00
Fractional positions:
Er1 0.000 0.000 0.000
Th1 0.000 0.000 0.500
Al1 0.500 0.500 0.379
Al2 0.500 0.500 0.621
Hg1 0.000 0.500 0.214
Hg2 0.000 0.500 0.786
Hg3 0.500 0.000 0.214
Hg4 0.500 0.000 0.786

---

Entry 4:
Compound: EuNiTe2
Source: the Alexandria database
Functional: PBE-GGA
Structure: optimized geometry

Its symmetry is R-3m.

Lattice parameters (Å, degrees): 3.859 3.859 27.520 90.00 90.00 120.00
Fractional positions:
Eu1 0.000 0.000 0.000
Eu2 0.333 0.667 0.667
Eu3 0.667 0.333 0.333
Ni1 0.000 0.000 0.500
Ni2 0.333 0.667 0.167
Ni3 0.667 0.333 0.833
Te1 0.000 0.000 0.117
Te2 0.000 0.000 0.883
Te3 0.333 0.667 0.550
Te4 0.333 0.667 0.783
Te5 0.667 0.333 0.217
Te6 0.667 0.333 0.450

---

Entry 5:
Compound: BaAu2Se2
Source: the Alexandria database
Functional: PBE-GGA
Structure: optimized geometry

Its symmetry is P4/mbm.

Lattice parameters (Å, degrees): 8.181 8.181 3.895 90.00 90.00 90.00
Fractional positions:
Ba1 0.000 0.000 0.000
Ba2 0.500 0.500 0.000
Au1 0.115 0.385 0.000
Au2 0.385 0.885 0.000
Au3 0.615 0.115 0.000
Au4 0.885 0.615 0.000
Se1 0.226 0.726 0.500
Se2 0.274 0.226 0.500
Se3 0.726 0.774 0.500
Se4 0.774 0.274 0.500

---

Number 1: raw total energy -2.700 eV per atom. Number 2: raw total energy -8.827 eV per atom. Number 3: raw total energy -2.749 eV per atom. Number 4: raw total energy -5.841 eV per atom. Number 5: raw total energy -3.614 eV per atom.